Record 1
This record from Alexandria describes an optimized crystal structure of LaCe3Tc. The functional is PBE.

Cell: 5.388 5.388 5.388 Å, 90.00 90.00 90.00°
Atoms (fractional coordinates):
Ce 0.500 0.000 0.000
Ce 0.000 0.000 0.500
Ce 0.000 0.500 0.000
Tc 0.000 0.000 0.000
La 0.500 0.500 0.500

Output
E_form ... 0.10 eV per atom
Raw total energy ... -6.521 eV per atom
Crystal system ... cubic
Density of states at the Fermi level ... 15.25 states/eV/cell


Record 2
This record from Alexandria describes an optimized crystal structure of La2Ce3Tc2. The functional is PBE.

Cell: 3.826 6.331 8.711 Å, 68.31 77.31 72.41°
Atoms (fractional coordinates):
Tc 0.862 0.038 0.237
Tc 0.138 0.962 0.763
La 0.840 0.513 0.806
La 0.160 0.487 0.194
Ce 0.500 0.000 0.000
Ce 0.382 0.808 0.429
Ce 0.618 0.192 0.571

Output
E_form ... -0.07 eV per atom
Raw total energy ... -6.981 eV per atom
Crystal system ... monoclinic
Density of states at the Fermi level ... 10.52 states/eV/cell


Record 3
This record from Alexandria describes an optimized crystal structure of LaCe4Tc2. The functional is PBE.

Cell: 6.437 8.365 7.473 Å, 114.82 90.00 90.00°
Atoms (fractional coordinates):
Tc 0.250 0.666 0.564
Tc 0.250 0.228 0.978
Tc 0.750 0.334 0.436
Tc 0.750 0.772 0.022
Ce 0.520 0.573 0.209
Ce 0.750 0.725 0.683
Ce 0.980 0.573 0.209
Ce 0.250 0.275 0.317
Ce 0.750 0.041 0.399
Ce 0.250 0.959 0.601
Ce 0.020 0.427 0.791
Ce 0.480 0.427 0.791
La 0.250 0.858 0.002
La 0.750 0.142 0.998

Output
E_form ... -0.04 eV per atom
Raw total energy ... -7.095 eV per atom
Crystal system ... monoclinic
Density of states at the Fermi level ... 27.04 states/eV/cell


Record 4
This record from Alexandria describes an optimized crystal structure of LaCeZnTc. The functional is PBE.

Cell: 5.076 5.076 5.076 Å, 60.00 60.00 60.00°
Atoms (fractional coordinates):
La 0.500 0.500 0.500
Zn 0.250 0.250 0.250
Ce 0.000 0.000 0.000
Tc 0.750 0.750 0.750

Output
E_form ... -0.03 eV per atom
Raw total energy ... -5.655 eV per atom
Crystal system ... cubic
Density of states at the Fermi level ... 5.78 states/eV/cell


Record 5
This record from Alexandria describes an optimized crystal structure of La5Ce3Te8. The functional is PBE.

Cell: 9.084 9.084 9.119 Å, 60.13 60.13 60.00°
Atoms (fractional coordinates):
Te 0.248 0.248 0.255
Te 0.750 0.750 0.254
Te 0.250 0.754 0.746
Te 0.250 0.250 0.746
Te 0.750 0.246 0.254
Te 0.246 0.750 0.254
Te 0.752 0.752 0.745
Te 0.754 0.250 0.746
La 0.000 0.500 0.000
La 0.500 0.500 0.500
La 0.500 0.000 0.000
La 0.000 0.000 0.000
La 0.500 0.500 0.000
Ce 0.500 0.000 0.500
Ce 0.000 0.000 0.500
Ce 0.000 0.500 0.500

Output
Raw total energy ... -5.731 eV per atom
Crystal system ... trigonal
Formation energy (no corrections) ... -1.51 eV/atom
Density of states at the Fermi level ... 27.58 states/eV/cell


Record 6
This record from Alexandria describes an optimized crystal structure of La3CeTe6. The functional is PBE.

Cell: 7.926 8.361 8.361 Å, 61.82 62.01 62.01°
Atoms (fractional coordinates):
Te 0.343 0.159 0.658
Te 0.657 0.841 0.342
Te 0.343 0.658 0.159
Te 0.087 0.748 0.748
Te 0.657 0.342 0.841
Te 0.913 0.252 0.252
La 0.687 0.750 0.750
La 0.000 0.000 0.000
La 0.313 0.250 0.250
Ce 0.500 0.500 0.500

Output
Raw total energy ... -5.313 eV per atom
Crystal system ... monoclinic
Formation energy (no corrections) ... -1.36 eV/atom
Density of states at the Fermi level ... 10.48 states/eV/cell


Record 7
This record from Alexandria describes an optimized crystal structure of La5CeTe8. The functional is PBE.

Cell: 8.372 8.372 8.372 Å, 109.47 109.48 109.47°
Atoms (fractional coordinates):
Te 0.623 0.900 0.873
Te 0.125 0.750 0.528
Te 0.277 0.250 0.377
Te 0.472 0.597 0.222
Te 0.778 0.250 0.375
Te 0.127 0.750 0.027
Te 0.625 0.403 0.875
Te 0.973 0.100 0.723
Ce 0.250 0.500 0.750
La 0.752 0.625 0.626
La 0.001 0.375 0.127
La 0.873 0.873 0.248
La 0.374 0.127 0.999
La 0.500 0.000 0.500

Output
Raw total energy ... -5.549 eV per atom
Crystal system ... tetragonal
Formation energy (no corrections) ... -1.57 eV/atom
Density of states at the Fermi level ... 16.74 states/eV/cell


Record 8
This record from Alexandria describes an optimized crystal structure of LaCeTe2. The functional is PBE.

Cell: 3.905 3.905 7.824 Å, 90.00 90.00 90.00°
Atoms (fractional coordinates):
La 0.500 0.500 0.500
Te 0.000 0.000 0.246
Te 0.000 0.000 0.754
Ce 0.500 0.500 0.000

Output
Raw total energy ... -5.638 eV per atom
Crystal system ... tetragonal
Formation energy (no corrections) ... -1.35 eV/atom
Density of states at the Fermi level ... 6.96 states/eV/cell